VASP calculation (PBE-GGA) on Tm8Tc2Au after structural relaxation.

a = 7.6043 Å, b = 7.6043 Å, c = 5.6371 Å
α = 99.63°, β = 99.63°, γ = 112.11°
Closest atoms and distances in Å follow each position.
Fractional positions:
Tm1 0.0000 0.0000 0.0000  2 Tc 2.94, 1 Au 3.11
Tm2 0.0327 0.2982 0.6018  2 Tc 2.79-2.81
Tm3 0.1430 0.5974 0.1930  1 Au 2.94, 2 Tc 3.00-3.03
Tm4 0.2982 0.0327 0.6018  2 Tc 2.79-2.81
Tm5 0.4425 0.7060 0.7854  2 Tc 2.80-2.81
Tm6 0.5974 0.1430 0.1930  1 Au 2.94, 2 Tc 3.00-3.03
Tm7 0.7060 0.4425 0.7854  2 Tc 2.80-2.81
Tm8 0.7516 0.7516 0.3905  2 Tc 2.93, 1 Au 3.13
Tc1 0.0596 0.6832 0.6964  8 Tm 2.79-3.03
Tc2 0.6832 0.0596 0.6964  8 Tm 2.79-3.03
Au1 0.3780 0.3780 0.0788  8 Tm 2.94-3.22

Calculated values
Volume   26.2 Å³ per atom
Symmetry   No. 8
Total DFT energy (no corrections)   -5.630 eV per atom
ΔE_f   -195 meV/atom

---

VASP calculation (PBE-GGA) on BeNbF2 after structural relaxation.

a = 5.2331 Å, b = 5.2331 Å, c = 5.2331 Å
α = 120.17°, β = 120.17°, γ = 89.71°
Closest atoms and distances in Å follow each position.
Fractional positions:
Be1 0.3750 0.6250 0.7500  4 F 1.60
Be2 0.6250 0.3750 0.2500  4 F 1.60
Nb1 0.1250 0.8750 0.2500  12 F 3.06-3.07, 4 Be 3.20, 4 Nb 3.20
Nb2 0.8750 0.1250 0.7500  12 F 3.06-3.07, 4 Nb 3.20, 4 Be 3.20
F1 0.0000 0.5000 0.5000  2 Be 1.60
F2 0.5000 0.0000 0.0000  2 Be 1.60
F3 0.5000 0.5000 0.0000  2 Be 1.60
F4 0.5000 0.5000 0.5000  2 Be 1.60

Calculated values
Volume   12.6 Å³ per atom
Symmetry   No. 141
Total DFT energy (no corrections)   -5.459 eV per atom

---

VASP calculation (PBE-GGA) on HoHfCdTc after structural relaxation.

a = 4.8885 Å, b = 4.8885 Å, c = 4.8885 Å
α = 60.00°, β = 60.00°, γ = 60.00°
Closest atoms and distances in Å follow each position.
Fractional positions:
Ho1 0.0000 0.0000 0.0000  4 Cd 2.99, 4 Tc 2.99
Hf1 0.5000 0.5000 0.5000  4 Cd 2.99, 4 Tc 2.99
Cd1 0.7500 0.7500 0.7500  4 Ho 2.99, 4 Hf 2.99
Tc1 0.2500 0.2500 0.2500  4 Hf 2.99, 4 Ho 2.99

Calculated values
Volume   20.7 Å³ per atom
Symmetry   No. 216
Total DFT energy (no corrections)   -6.554 eV per atom
ΔE_f   -101 meV/atom

---

VASP calculation (PBE-GGA) on NaLaN2O after structural relaxation.

a = 4.1860 Å, b = 4.1860 Å, c = 4.1117 Å
α = 90.00°, β = 90.00°, γ = 90.00°
Closest atoms and distances in Å follow each position.
Fractional positions:
Na1 0.0000 0.0000 0.0000  2 O 2.06, 4 N 2.09
La1 0.5000 0.5000 0.5000  8 N 2.93, 4 O 2.96
N1 0.0000 0.5000 0.0000  2 Na 2.09
N2 0.5000 0.0000 0.0000  2 Na 2.09
O1 0.0000 0.0000 0.5000  2 Na 2.06

Calculated values
Volume   14.4 Å³ per atom
Symmetry   No. 123
Total DFT energy (no corrections)   -5.292 eV per atom

---

VASP calculation (PBE-GGA) on LaYW2 after structural relaxation.

a = 5.8196 Å, b = 5.8196 Å, c = 5.8196 Å
α = 145.08°, β = 130.51°, γ = 61.99°
Closest atoms and distances in Å follow each position.
Fractional positions:
La1 0.0000 0.0000 0.0000  4 W 2.99, 4 Y 3.00
Y1 0.5000 0.5000 0.0000  4 La 3.00, 4 W 3.10
W1 0.2436 0.7436 0.5000  2 La 2.99, 4 W 3.00, 2 Y 3.10
W2 0.7564 0.2564 0.5000  2 La 2.99, 4 W 3.00, 2 Y 3.10

Calculated values
Volume   21.2 Å³ per atom
Symmetry   No. 71
Total DFT energy (no corrections)   -8.476 eV per atom
ΔE_f   849 meV/atom

---

VASP calculation (PBE-GGA) on CaCuHg after structural relaxation.

a = 4.6152 Å, b = 4.6152 Å, c = 3.7746 Å
α = 90.00°, β = 90.00°, γ = 120.00°
Closest atoms and distances in Å follow each position.
Fractional positions:
Ca1 0.0000 0.0000 0.0000  6 Cu 3.27, 6 Hg 3.27
Cu1 0.6667 0.3333 0.5000  3 Hg 2.66
Hg1 0.3333 0.6667 0.5000  3 Cu 2.66

Calculated values
Volume   23.2 Å³ per atom
Symmetry   No. 187
Total DFT energy (no corrections)   -2.407 eV per atom
ΔE_f   -273 meV/atom

---

These records have density of states at the Fermi level values of 0.891; 0.071; 0.909; 0.428; 1.236; 0.545 states/eV per atom, in the order they appear.
These records have ρ values of 10.05; 4.60; 11.13; 4.75; 11.65; 7.26 g/cm3, in the order they appear.
These records have magnetization values of 0.00; 2.00; 0.00; 4.00; 0.00; 0.00 μB/cell, in the order they appear.